1.
Material: MnNbIBr2
Method: DFT, PBE
State: relaxed

Computed properties:
uncorrected formation energy: 1.6806 eV/atom
space group: P4/mmm
DFT total energy: -3.146 eV per atom

Cell lengths 6.195, 4.652, 6.195 Å; angles 90.00, 90.00, 90.00 degrees
Each line ends with the local moment (μB).
Sites, in units of the cell vectors:
Br 0.000 0.000 0.500  0.01
Nb 0.500 0.500 0.500  -3.03
Br 0.500 0.000 0.000  0.00
Mn 0.000 0.500 0.000  -0.33
I 0.000 0.000 0.000  -0.02

---

2.
Material: Ge3RuBr
Method: DFT, PBE
State: relaxed

Computed properties:
uncorrected formation energy: -0.0189 eV/atom
space group: Pm-3m
DFT total energy: -4.979 eV per atom

Cell lengths 4.864, 4.864, 4.864 Å; angles 90.00, 90.00, 90.00 degrees
Sites, in units of the cell vectors:
Ge 0.000 0.000 0.500
Ru 0.000 0.000 0.000
Ge 0.500 0.000 0.000
Ge 0.000 0.500 0.000
Br 0.500 0.500 0.500

---

3.
Material: SmDyGe2
Method: DFT, PBE
State: relaxed

Computed properties:
space group: P4/mmm
E_form: -0.610 eV per atom
DFT total energy: -5.249 eV per atom

Cell lengths 3.242, 5.373, 5.373 Å; angles 90.00, 90.00, 90.00 degrees
Sites, in units of the cell vectors:
Ge 0.000 0.000 0.500
Sm 0.500 0.500 0.500
Ge 0.000 0.500 0.000
Dy 0.500 0.000 0.000

---

4.
Material: Ac5Tl2N
Method: DFT, PBE
State: relaxed

Computed properties:
uncorrected formation energy: -0.4271 eV/atom
space group: Pnma
DFT total energy: -4.627 eV per atom

Cell lengths 7.413, 9.621, 15.562 Å; angles 90.00, 90.00, 90.00 degrees
Sites, in units of the cell vectors:
Tl 0.750 0.061 0.193
Ac 0.500 0.000 0.000
Tl 0.750 0.561 0.307
Ac 0.250 0.557 0.292
Ac 0.750 0.229 0.379
Tl 0.750 0.295 0.912
Ac 0.750 0.729 0.121
Ac 0.250 0.057 0.208
Ac 0.000 0.000 0.000
Tl 0.250 0.939 0.807
Ac 0.002 0.361 0.103
Tl 0.250 0.205 0.412
Tl 0.250 0.439 0.693
Ac 0.750 0.943 0.792
N 0.750 0.811 0.946
Ac 0.498 0.861 0.397
N 0.250 0.689 0.446
Ac 0.498 0.361 0.103
Ac 0.000 0.500 0.500
Ac 0.250 0.771 0.621
Ac 0.502 0.639 0.897
Ac 0.500 0.500 0.500
Ac 0.250 0.271 0.879
Ac 0.502 0.139 0.603
Ac 0.750 0.443 0.708
Tl 0.250 0.705 0.088
Ac 0.998 0.639 0.897
Ac 0.998 0.139 0.603
N 0.250 0.189 0.054
Tl 0.750 0.795 0.588
N 0.750 0.311 0.554
Ac 0.002 0.861 0.397

---

5.
Material: Hf4ScZn5
Method: DFT, PBE
State: relaxed

Computed properties:
space group: P4/mmm
E_form: -0.227 eV per atom
DFT total energy: -5.478 eV per atom

Cell lengths 3.315, 3.315, 16.516 Å; angles 90.00, 90.00, 90.00 degrees
Sites, in units of the cell vectors:
Hf 0.000 0.000 0.401
Zn 0.500 0.500 0.500
Sc 0.000 0.000 0.000
Zn 0.500 0.500 0.699
Zn 0.500 0.500 0.301
Zn 0.500 0.500 0.899
Hf 0.000 0.000 0.799
Hf 0.000 0.000 0.201
Hf 0.000 0.000 0.599
Zn 0.500 0.500 0.101

---

6.
Material: MnNb2CuPb
Method: DFT, PBE
State: relaxed

Computed properties:
space group: P4/mmm
E_form: 1.845 eV per atom
DFT total energy: -5.578 eV per atom

Cell lengths 5.272, 5.272, 4.680 Å; angles 90.00, 90.00, 90.00 degrees
Each line ends with the local moment (μB).
Sites, in units of the cell vectors:
Nb 0.500 0.000 0.000  -1.16
Cu 0.000 0.000 0.500  0.00
Mn 0.500 0.500 0.500  4.19
Pb 0.000 0.000 0.000  0.02
Nb 0.000 0.500 0.000  -1.16

---

7.
Material: Na2Mg5Cd5
Method: DFT, PBE
State: relaxed

Computed properties:
space group: C2/m
E_form: -0.051 eV per atom
DFT total energy: -1.317 eV per atom

Cell lengths 4.395, 7.082, 9.778 Å; angles 75.53, 77.01, 71.93 degrees
Sites, in units of the cell vectors:
Mg 0.835 0.832 0.498
Mg 0.756 0.241 0.248
Na 0.919 0.410 0.753
Mg 0.244 0.759 0.752
Na 0.081 0.590 0.247
Mg 0.000 0.000 0.000
Cd 0.592 0.066 0.749
Cd 0.408 0.934 0.251
Cd 0.664 0.670 0.001
Cd 0.500 0.500 0.500
Cd 0.336 0.330 0.999
Mg 0.165 0.168 0.502

---

8.
Material: TiCr2Re
Method: DFT, PBE
State: relaxed

Computed properties:
space group: I-42d
E_form: 0.604 eV per atom
DFT total energy: -9.293 eV per atom

Cell lengths 6.756, 6.756, 5.429 Å; angles 51.52, 51.52, 90.00 degrees
Sites, in units of the cell vectors:
Ti 0.500 0.500 0.000
Ti 0.250 0.750 0.500
Cr 0.108 0.625 0.250
Re 0.750 0.250 0.500
Cr 0.642 0.125 0.250
Re 0.000 0.000 0.000
Cr 0.875 0.892 0.750
Cr 0.375 0.358 0.750

---

9.
Material: Tl12Se5I
Method: DFT, PBE
State: relaxed

Computed properties:
uncorrected formation energy: -0.3504 eV/atom
space group: C2/m
DFT total energy: -2.982 eV per atom

Cell lengths 7.722, 7.725, 12.644 Å; angles 95.85, 101.76, 60.01 degrees
Sites, in units of the cell vectors:
Tl 0.879 0.672 0.635
Se 0.831 0.338 0.500
Se 0.333 0.334 0.000
Tl 0.794 0.000 0.366
Tl 0.206 0.000 0.634
Tl 0.551 0.328 0.635
Se 0.500 0.000 0.500
Tl 0.449 0.672 0.365
Tl 0.422 0.000 0.151
Tl 0.121 0.328 0.365
Se 0.667 0.666 0.000
Tl 0.321 0.628 0.849
Tl 0.051 0.628 0.151
Tl 0.950 0.372 0.849
Se 0.169 0.662 0.500
Tl 0.578 0.000 0.849
I 0.000 0.000 0.000
Tl 0.679 0.372 0.151

---

10.
Material: Li2ZrPdRh
Method: DFT, PBE
State: relaxed

Computed properties:
space group: P4/mmm
E_form: 0.212 eV per atom
DFT total energy: -4.772 eV per atom

Cell lengths 4.113, 5.223, 4.113 Å; angles 90.00, 90.00, 90.00 degrees
Sites, in units of the cell vectors:
Zr 0.500 0.500 0.500
Rh 0.000 0.500 0.000
Li 0.000 0.000 0.500
Li 0.500 0.000 0.000
Pd 0.000 0.000 0.000

---

11.
Material: Ca4Ga2N
Method: DFT, PBE
State: relaxed

Computed properties:
uncorrected formation energy: -0.4126 eV/atom
space group: I4/mmm
DFT total energy: -3.610 eV per atom

Cell lengths 4.835, 4.835, 8.473 Å; angles 73.42, 73.42, 90.00 degrees
Sites, in units of the cell vectors:
Ca 0.838 0.838 0.324
N 0.000 0.000 0.000
Ca 0.000 0.500 0.000
Ga 0.364 0.364 0.273
Ca 0.500 0.000 0.000
Ga 0.636 0.636 0.727
Ca 0.162 0.162 0.676

---

12.
Material: TbEuIrPt
Method: DFT, PBE
State: relaxed

Computed properties:
space group: F-43m
E_form: -0.755 eV per atom
DFT total energy: -8.207 eV per atom

Cell lengths 4.957, 4.957, 4.957 Å; angles 60.00, 60.00, 60.00 degrees
Each line ends with the local moment (μB).
Sites, in units of the cell vectors:
Ir 0.750 0.750 0.750  -0.15
Pt 0.250 0.250 0.250  -0.05
Eu 0.500 0.500 0.500  6.67
Tb 0.000 0.000 0.000  0.05

---

13.
Material: La2HPdPt
Method: DFT, PBE
State: relaxed

Computed properties:
space group: P4/mmm
DFT total energy: -5.703 eV per atom

Cell lengths 5.211, 5.211, 3.741 Å; angles 90.00, 90.00, 90.00 degrees
Sites, in units of the cell vectors:
Pd 0.000 0.000 0.500
Pt 0.500 0.500 0.500
H 0.000 0.000 0.000
La 0.000 0.500 0.000
La 0.500 0.000 0.000

---

14.
Material: ZrP2RuCl
Method: DFT, PBE
State: relaxed

Computed properties:
uncorrected formation energy: 0.6779 eV/atom
space group: P4/mmm
DFT total energy: -5.420 eV per atom

Cell lengths 5.046, 5.046, 4.887 Å; angles 90.00, 90.00, 90.00 degrees
Each line ends with the local moment (μB).
Sites, in units of the cell vectors:
Zr 0.000 0.000 0.000  0.05
Cl 0.000 0.000 0.500  0.06
Ru 0.500 0.500 0.500  2.72
P 0.500 0.000 0.000  0.01
P 0.000 0.500 0.000  0.01

---

15.
Material: NdHg6Pb12
Method: DFT, PBE
State: relaxed

Computed properties:
space group: R-3
E_form: -0.001 eV per atom
DFT total energy: -2.689 eV per atom

Cell lengths 8.353, 8.353, 8.353 Å; angles 89.89, 89.89, 89.89 degrees
Sites, in units of the cell vectors:
Pb 0.558 0.191 0.483
Pb 0.893 0.596 0.864
Pb 0.442 0.809 0.517
Pb 0.107 0.404 0.136
Nd 0.000 0.000 0.000
Pb 0.136 0.107 0.404
Pb 0.517 0.442 0.809
Pb 0.596 0.864 0.893
Pb 0.483 0.558 0.191
Pb 0.191 0.483 0.558
Hg 0.245 0.731 0.874
Hg 0.755 0.269 0.126
Hg 0.731 0.874 0.245
Hg 0.269 0.126 0.755
Pb 0.404 0.136 0.107
Pb 0.809 0.517 0.442
Hg 0.874 0.245 0.731
Hg 0.126 0.755 0.269
Pb 0.864 0.893 0.596

---

16.
Material: TmAl3Fe8
Method: DFT, PBE
State: relaxed

Computed properties:
space group: R3m
E_form: -0.134 eV per atom
DFT total energy: -7.084 eV per atom

Cell lengths 4.824, 4.824, 8.375 Å; angles 73.26, 73.26, 60.00 degrees
Each line ends with the local moment (μB).
Sites, in units of the cell vectors:
Fe 0.430 0.937 0.695  1.86
Fe 0.187 0.187 0.438  2.04
Fe 0.944 0.440 0.176  1.85
Tm 0.875 0.875 0.374  -0.41
Fe 0.440 0.944 0.176  1.85
Fe 0.688 0.688 0.936  1.64
Al 0.494 0.494 0.519  -0.04
Fe 0.440 0.440 0.176  1.85
Al 0.374 0.374 0.877  -0.06
Fe 0.937 0.937 0.695  1.86
Al 0.003 0.003 0.992  -0.05
Fe 0.937 0.430 0.695  1.86

---

17.
Material: PmY3Er2
Method: DFT, PBE
State: relaxed

Computed properties:
space group: C2/m
E_form: 0.006 eV per atom
DFT total energy: -5.539 eV per atom

Cell lengths 3.644, 11.297, 11.160 Å; angles 120.41, 99.40, 90.00 degrees
Sites, in units of the cell vectors:
Pm 0.610 0.987 0.221
Pm 0.390 0.013 0.779
Y 0.388 0.514 0.775
Y 0.055 0.679 0.110
Y 0.722 0.845 0.445
Y 0.612 0.486 0.225
Er 0.943 0.817 0.887
Y 0.945 0.321 0.890
Er 0.057 0.183 0.113
Er 0.278 0.651 0.556
Er 0.722 0.349 0.444
Y 0.278 0.155 0.555

---

18.
Material: Zn2Ni3
Method: DFT, PBE
State: relaxed

Computed properties:
space group: R-3m
E_form: -0.107 eV per atom
DFT total energy: -4.085 eV per atom

Cell lengths 10.279, 10.279, 10.279 Å; angles 14.52, 14.52, 14.52 degrees
Sites, in units of the cell vectors:
Ni 0.199 0.199 0.199
Zn 0.599 0.599 0.599
Ni 0.801 0.801 0.801
Ni 0.000 0.000 0.000
Zn 0.401 0.401 0.401

---

19.
Material: PrNd6Er2Tm
Method: DFT, PBE
State: relaxed

Computed properties:
space group: C2/c
E_form: 0.114 eV per atom
DFT total energy: -4.584 eV per atom

Cell lengths 9.638, 8.952, 8.952 Å; angles 116.94, 93.44, 93.44 degrees
Sites, in units of the cell vectors:
Er 0.549 0.204 0.301
Nd 0.055 0.116 0.761
Nd 0.445 0.239 0.884
Er 0.049 0.301 0.204
Nd 0.883 0.294 0.515
Er 0.951 0.699 0.796
Pr 0.250 0.970 0.030
Nd 0.117 0.706 0.485
Tm 0.250 0.412 0.588
Er 0.451 0.796 0.699
Nd 0.945 0.884 0.239
Nd 0.383 0.515 0.294
Nd 0.555 0.761 0.116
Nd 0.186 0.560 0.005
Nd 0.314 0.995 0.440
Nd 0.617 0.485 0.706
Nd 0.814 0.440 0.995
Pr 0.750 0.030 0.970
Tm 0.750 0.588 0.412
Nd 0.686 0.005 0.560

---

20.
Material: GdTm2O
Method: DFT, PBE
State: relaxed

Computed properties:
uncorrected formation energy: -0.8113 eV/atom
space group: P4/mmm
DFT total energy: -7.807 eV per atom

Cell lengths 3.161, 3.161, 8.618 Å; angles 90.00, 90.00, 90.00 degrees
Each line ends with the local moment (μB).
Sites, in units of the cell vectors:
O 0.500 0.500 0.000  0.01
Tm 0.000 0.000 0.823  -0.05
Tm 0.000 0.000 0.177  -0.05
Gd 0.500 0.500 0.500  7.22